No. 1
Material: Ce2NpPd9
Method: DFT, GGA-PBE
State: relaxed

Summary:
E_form: -0.70 eV/atom

a b c (Å): 4.1558 4.1558 12.4749
angles (deg): 90.00 90.00 90.00
With the nearest neighbours (Å) after each atom.
Space group P4/mmm (No. 123)
Unique sites:
Ce  0.0000  0.0000  0.1675 (multiplicity 2)  12 Pd 2.93-2.95
Np  0.0000  0.0000  0.5000 (multiplicity 1)  12 Pd 2.94
Pd  0.0000  0.5000  0.0000 (multiplicity 2)  8 Pd 2.94, 4 Ce 2.95
Pd  0.0000  0.5000  0.3331 (multiplicity 4)  2 Ce 2.93, 8 Pd 2.94, 2 Np 2.94
Pd  0.5000  0.5000  0.1667 (multiplicity 2)  8 Pd 2.94, 4 Ce 2.94
Pd  0.5000  0.5000  0.5000 (multiplicity 1)  4 Np 2.94, 8 Pd 2.94


No. 2
Material: CeNpPdRu
Method: DFT, GGA-PBE
State: relaxed

Summary:
E_form: -0.22 eV/atom

a b c (Å): 6.6701 6.6701 6.6701
angles (deg): 90.00 90.00 90.00
With the nearest neighbours (Å) after each atom.
Space group F-43m (No. 216)
Unique sites:
Ce  0.0000  0.0000  0.0000 (multiplicity 4)  4 Np 2.89, 4 Pd 2.89
Np  0.2500  0.2500  0.2500 (multiplicity 4)  4 Ce 2.89, 4 Ru 2.89
Pd  0.2500  0.2500  0.7500 (multiplicity 4)  4 Ce 2.89, 4 Ru 2.89
Ru  0.0000  0.0000  0.5000 (multiplicity 4)  4 Np 2.89, 4 Pd 2.89


No. 3
Material: CeNpPdS4
Method: DFT, GGA-PBE
State: relaxed

Summary:
energy relative to the elements, uncorrected: -1.26 eV per atom

a b c (Å): 6.5054 6.0710 7.6794
angles (deg): 90.00 107.35 90.00
With the nearest neighbours (Å) after each atom.
Space group P2_1/m (No. 11)
Unique sites:
Ce  0.2398  0.2500  0.0588 (multiplicity 2)  6 S 2.67-2.97
Np  0.2349  0.2500  0.5591 (multiplicity 2)  6 S 2.72-2.84
Pd  0.2368  0.7500  0.3106 (multiplicity 2)  4 S 2.34-2.37
S  0.0325  0.5205  0.7482 (multiplicity 4)  1 Pd 2.34
S  0.4533  0.7500  0.1115 (multiplicity 2)  1 Pd 2.37
S  0.4588  0.7500  0.6169 (multiplicity 2)  1 Pd 2.36


No. 4
Material: Ce2NpPd2S6
Method: DFT, GGA-PBE
State: relaxed

Summary:
energy relative to the elements, uncorrected: -1.19 eV per atom

a b c (Å): 6.6773 6.6773 6.4242
angles (deg): 90.00 90.00 120.00
With the nearest neighbours (Å) after each atom.
Space group P-31m (No. 162)
Unique sites:
Ce  0.3333  0.6667  0.0000 (multiplicity 2)  6 S 2.77
Np  0.0000  0.0000  0.5000 (multiplicity 1)  6 S 2.75
Pd  0.3333  0.6667  0.5000 (multiplicity 2)  6 S 2.66
S  0.0000  0.3445  0.7360 (multiplicity 6)  2 Pd 2.66, 1 Np 2.75, 2 Ce 2.77


Density of states at the Fermi level per entry: 1.567; 2.710; 1.345; 1.586 states/eV/atom